(1)
First-principles (PBE-GGA) data for an optimized crystal structure of Sc4BePb, as listed in Alexandria via LeMat-Bulk.

Computed properties:
DFT formation energy: 439 meV per atom
Magnetic moment: 0.000 μB/atom
Calculated density: 4722 kg/m³

Structure (CIF):
```
data_Sc4BePb
_cell_length_a 8.228
_cell_length_b 8.228
_cell_length_c 8.228
_cell_angle_alpha 90.00
_cell_angle_beta 90.00
_cell_angle_gamma 90.00
_symmetry_space_group_name_H-M 'F -4 3 m'
_symmetry_Int_Tables_number 216
_symmetry_space_group_name_Hall 'F -4 2 3'
loop_
_atom_site_label
_atom_site_type_symbol
_atom_site_fract_x
_atom_site_fract_y
_atom_site_fract_z
Sc1 Sc 0.125 0.125 0.125
Be1 Be 0.250 0.250 0.750
Pb1 Pb 0.000 0.000 0.500
```

(2)
First-principles (PBE-GGA) data for an optimized crystal structure of Ca2ScCl6, as listed in Alexandria via LeMat-Bulk.

Computed properties:
Magnetic moment: 0.111 μB/atom
E_form (uncorrected): -2.165 eV per atom
Calculated density: 2254 kg/m³

Structure (CIF):
```
data_Ca2ScCl6
_cell_length_a 6.397
_cell_length_b 6.397
_cell_length_c 12.168
_cell_angle_alpha 90.00
_cell_angle_beta 90.00
_cell_angle_gamma 90.00
_symmetry_space_group_name_H-M 'P 42/m n m'
_symmetry_Int_Tables_number 136
_symmetry_space_group_name_Hall '-P 4n 2n'
loop_
_atom_site_label
_atom_site_type_symbol
_atom_site_fract_x
_atom_site_fract_y
_atom_site_fract_z
Ca1 Ca 0.000 0.000 0.170
Sc1 Sc 0.000 0.000 0.500
Cl1 Cl 0.196 0.196 0.341
Cl2 Cl 0.208 0.208 0.000
```

(3)
First-principles (PBE-GGA) data for an optimized crystal structure of Sr3PbN, as listed in Alexandria via LeMat-Bulk.

Computed properties:
Magnetic moment: 0.000 μB/atom
E_form (uncorrected): -0.504 eV per atom
Calculated density: 5008 kg/m³

Structure (CIF):
```
data_Sr3PbN
_cell_length_a 6.209
_cell_length_b 16.631
_cell_length_c 6.217
_cell_angle_alpha 90.00
_cell_angle_beta 90.00
_cell_angle_gamma 90.00
_symmetry_space_group_name_H-M 'P n m a'
_symmetry_Int_Tables_number 62
_symmetry_space_group_name_Hall '-P 2ac 2n'
loop_
_atom_site_label
_atom_site_type_symbol
_atom_site_fract_x
_atom_site_fract_y
_atom_site_fract_z
Sr1 Sr 0.001 0.110 0.006
Sr2 Sr 0.022 0.750 0.451
Pb1 Pb 0.000 0.000 0.500
N1 N 0.079 0.250 0.937
```

(4)
First-principles (PBE-GGA) data for an optimized crystal structure of NaDyHgF6, as listed in Alexandria via LeMat-Bulk.

Computed properties:
Magnetic moment: 0.000 μB/atom
E_form (uncorrected): -2.871 eV per atom
Calculated density: 5592 kg/m³

Structure (CIF):
```
data_NaDyHgF6
_cell_length_a 6.0348
_cell_length_b 6.0348
_cell_length_c 9.4171
_cell_angle_alpha 90.00
_cell_angle_beta 90.00
_cell_angle_gamma 120.00
_symmetry_space_group_name_H-M 'P -3 1 c'
_symmetry_Int_Tables_number 163
_symmetry_space_group_name_Hall '-P 3 2c'
loop_
_atom_site_label
_atom_site_type_symbol
_atom_site_fract_x
_atom_site_fract_y
_atom_site_fract_z
Na1 Na 0.0000 0.0000 0.0000
Dy1 Dy 0.3333 0.6667 0.2500
Hg1 Hg 0.3333 0.6667 0.7500
F1 F 0.0189 0.3540 0.1300
```

Which of these has the lowest calculated density?
Ca2ScCl6

The highest magnetic moment belongs to which entry?
Ca2ScCl6

Repeat the second record exactly.
First-principles (PBE-GGA) data for an optimized crystal structure of Ca2ScCl6, as listed in Alexandria via LeMat-Bulk.

Computed properties:
Magnetic moment: 0.111 μB/atom
E_form (uncorrected): -2.165 eV per atom
Calculated density: 2254 kg/m³

Structure (CIF):
```
data_Ca2ScCl6
_cell_length_a 6.397
_cell_length_b 6.397
_cell_length_c 12.168
_cell_angle_alpha 90.00
_cell_angle_beta 90.00
_cell_angle_gamma 90.00
_symmetry_space_group_name_H-M 'P 42/m n m'
_symmetry_Int_Tables_number 136
_symmetry_space_group_name_Hall '-P 4n 2n'
loop_
_atom_site_label
_atom_site_type_symbol
_atom_site_fract_x
_atom_site_fract_y
_atom_site_fract_z
Ca1 Ca 0.000 0.000 0.170
Sc1 Sc 0.000 0.000 0.500
Cl1 Cl 0.196 0.196 0.341
Cl2 Cl 0.208 0.208 0.000
```